Computed, not measured: crystalline CaNi2O4 at its relaxed geometry at the PBE+U level of DFT.

Computed properties:
Energy above the most stable polymorph in this dataset, eV per formula unit: 0.01
Calculated volume, Å³/atom: 10.24

Cell and atoms, written as CIF:
```
data_CaNi2O4
_cell_length_a 8.994
_cell_length_b 3.033
_cell_length_c 10.513
_cell_angle_alpha 90.00
_cell_angle_beta 90.00
_cell_angle_gamma 90.00
_space_group_name_H-M_alt 'P n m a'
_space_group_IT_number 62
loop_
_space_group_symop_operation_xyz
'x,y,z'
'-x,-y,-z'
'-x+1/2,-y,z+1/2'
'x+1/2,y,-z+1/2'
'x+1/2,-y+1/2,-z+1/2'
'-x+1/2,y+1/2,z+1/2'
'-x,y+1/2,-z'
'x,-y+1/2,z'
loop_
_atom_site_label
_atom_site_type_symbol
_atom_site_fract_x
_atom_site_fract_y
_atom_site_fract_z
Ca1 Ca 0.243 0.250 0.161
Ni1 Ni 0.062 0.250 0.389
Ni2 Ni 0.082 0.250 0.900
O1 O 0.024 0.750 0.785
O2 O 0.082 0.250 0.574
O3 O 0.115 0.750 0.024
O4 O 0.210 0.750 0.341
```